Record 1
Computed, not measured: crystalline SrAl3In at its relaxed geometry at the GGA-PBEsol level of DFT.

Calculated values
* electronic total energy: -10.47 eV for the cell shown
* total magnetic moment: 0.00 Bohr magnetons per cell
* space-group type: Pm-3m
* formation energy from the elements: 1.325 eV/atom
* ρ: 2.46 g/cm3

```
5
Lattice="5.761 0.000 0.000 0.000 5.761 0.000 0.000 0.000 5.761" Properties=species:S:1:pos:R:3 pbc="T T T"
Sr 0.000 0.000 0.000
Al 0.000 0.000 2.880
Al 0.000 2.880 0.000
Al 2.880 0.000 0.000
In 2.880 2.880 2.880
```

Record 2
Computed, not measured: crystalline SrAlIn at its relaxed geometry at the GGA-PBEsol level of DFT.

Calculated values
* electronic total energy: -20.09 eV for the cell shown
* total magnetic moment: 0.00 Bohr magnetons per cell
* space-group type: C2/m
* formation energy from the elements: -0.377 eV/atom
* ρ: 4.79 g/cm3

```
6
Lattice="5.663 -2.445 0.000 5.663 2.445 0.000 -5.481 0.000 5.739" Properties=species:S:1:pos:R:3 pbc="T T T"
Sr -1.104 0.000 1.709
Sr 6.949 0.000 4.029
Al -1.046 0.000 5.192
Al 6.891 0.000 0.547
In 2.304 0.000 1.518
In 3.541 0.000 4.221
```

Record 3
Computed, not measured: crystalline SrAl2In at its relaxed geometry at the GGA-PBEsol level of DFT.

Calculated values
* distance to the lowest polymorph of the same formula: 149 meV per atom
* electronic total energy: -25.52 eV for the cell shown
* total magnetic moment: 0.00 Bohr magnetons per cell
* space-group type: I-42d
* formation energy from the elements: 0.062 eV/atom
* ρ: 3.53 g/cm3

```
8
Lattice="-2.513 2.513 9.542 2.513 -2.513 9.542 2.513 2.513 -9.542" Properties=species:S:1:pos:R:3 pbc="T T T"
Sr 0.000 0.000 0.000
Sr 0.000 2.513 4.771
Al 1.256 -0.222 7.156
Al 2.291 1.256 2.385
Al 1.256 2.734 -2.385
Al 0.222 1.256 11.927
In 2.513 0.000 4.771
In 0.000 0.000 9.542
```

Record 4
Computed, not measured: crystalline Sr2Al2In at its relaxed geometry at the GGA-PBEsol level of DFT.

Calculated values
* electronic total energy: -32.19 eV for the cell shown
* total magnetic moment: 0.00 Bohr magnetons per cell
* space-group type: C2/c
* formation energy from the elements: -0.250 eV/atom
* ρ: 4.04 g/cm3

```
10
Lattice="5.255 -3.189 0.000 5.255 3.189 0.000 -1.835 0.000 8.433" Properties=species:S:1:pos:R:3 pbc="T T T"
Sr 1.277 0.838 1.253
Sr 0.359 -0.838 5.470
Sr 8.316 0.838 2.964
Sr 7.399 -0.838 7.180
Al 2.875 0.869 4.191
Al 1.957 -0.869 8.408
Al 6.719 0.869 0.025
Al 5.801 -0.869 4.242
In 4.797 0.786 2.108
In 3.879 -0.786 6.325
```

Record 5
Computed, not measured: crystalline Sr3Al2In4 at its relaxed geometry at the GGA-PBEsol level of DFT.

Calculated values
* electronic total energy: -58.75 eV for the cell shown
* total magnetic moment: 0.00 Bohr magnetons per cell
* space-group type: Cm
* formation energy from the elements: -0.415 eV/atom
* ρ: 5.28 g/cm3

```
18
Lattice="5.732 -2.461 0.000 5.732 2.461 0.000 -5.008 0.000 17.314" Properties=species:S:1:pos:R:3 pbc="T T T"
Sr 0.000 0.000 0.000
Sr -1.724 0.000 14.955
Sr 0.486 0.000 11.519
Sr 3.754 0.000 9.155
Sr 5.957 0.000 5.706
Sr 9.247 0.000 3.383
Al 3.389 0.000 1.135
Al 5.859 0.000 2.240
Al 3.772 0.000 12.669
Al 9.245 0.000 6.869
In -2.929 0.000 11.659
In 1.233 0.000 3.196
In 0.312 0.000 8.014
In 2.538 0.000 5.852
In 1.778 0.000 14.820
In 8.018 0.000 0.189
In 7.250 0.000 9.011
In 6.305 0.000 13.812
```

Record 6
Computed, not measured: crystalline SrAlIn2 at its relaxed geometry at the GGA-PBEsol level of DFT.

Calculated values
* electronic total energy: -12.48 eV for the cell shown
* total magnetic moment: 0.00 Bohr magnetons per cell
* space-group type: Fm-3m
* formation energy from the elements: -0.145 eV/atom
* ρ: 5.62 g/cm3

```
4
Lattice="0.000 3.705 3.705 3.705 0.000 3.705 3.705 3.705 0.000" Properties=species:S:1:pos:R:3 pbc="T T T"
Sr 0.000 0.000 0.000
Al 3.705 3.705 3.705
In 1.853 1.853 1.853
In 5.558 5.558 5.558
```

Record 7
Computed, not measured: crystalline Sr2Al3In at its relaxed geometry at the GGA-PBEsol level of DFT.

Calculated values
* electronic total energy: -20.84 eV for the cell shown
* total magnetic moment: 0.00 Bohr magnetons per cell
* space-group type: Cm
* formation energy from the elements: -0.318 eV/atom
* ρ: 4.04 g/cm3

```
6
Lattice="5.592 -2.417 0.000 5.592 2.417 0.000 -5.514 0.000 5.637" Properties=species:S:1:pos:R:3 pbc="T T T"
Sr 0.000 0.000 0.000
Sr -2.214 0.000 3.362
Al 1.171 0.000 3.135
Al 3.235 0.000 1.191
Al 5.734 0.000 2.249
In 7.812 0.000 0.105
```

Record 8
Computed, not measured: crystalline SrAl2In at its relaxed geometry at the GGA-PBEsol level of DFT.

Calculated values
* distance to the lowest polymorph of the same formula: 0 meV per atom
* electronic total energy: -13.35 eV for the cell shown
* total magnetic moment: 0.00 Bohr magnetons per cell
* space-group type: C2/m
* formation energy from the elements: -0.087 eV/atom
* ρ: 4.10 g/cm3

```
4
Lattice="3.971 -2.286 0.000 3.971 2.286 0.000 -2.632 0.000 5.724" Properties=species:S:1:pos:R:3 pbc="T T T"
Sr 0.000 0.000 0.000
Al 0.011 0.000 3.739
Al 5.299 0.000 1.985
In 2.655 0.000 2.862
```

Record 9
Computed, not measured: crystalline Sr2TiAlIn at its relaxed geometry at the GGA-PBEsol level of DFT.

Calculated values
* electronic total energy: -15.96 eV for the cell shown
* total magnetic moment: 2.79 Bohr magnetons per cell
* space-group type: P4/mmm
* formation energy from the elements: 0.623 eV/atom
* ρ: 3.55 g/cm3

```
5
Lattice="5.806 0.000 0.000 0.000 5.806 0.000 0.000 0.000 5.064" Properties=species:S:1:pos:R:3 pbc="T T T"
Sr 0.000 2.903 0.000
Sr 2.903 0.000 0.000
Ti 0.000 0.000 0.000
Al 0.000 0.000 2.532
In 2.903 2.903 2.532
```

Record 10
Computed, not measured: crystalline Ta2AlIn at its relaxed geometry at the GGA-PBEsol level of DFT.

Calculated values
* electronic total energy: -32.12 eV for the cell shown
* total magnetic moment: 0.00 Bohr magnetons per cell
* space-group type: P4mm
* formation energy from the elements: 0.015 eV/atom
* ρ: 11.44 g/cm3

```
4
Lattice="3.500 0.000 0.000 0.000 3.500 0.000 0.000 0.000 5.968" Properties=species:S:1:pos:R:3 pbc="T T T"
Ta 0.000 0.000 0.000
Ta 1.750 1.750 1.226
Al 0.000 0.000 2.750
In 1.750 1.750 4.243
```

Record 11
Computed, not measured: crystalline Ta2AlIn at its relaxed geometry at the GGA-PBEsol level of DFT.

Calculated values
* electronic total energy: -31.86 eV for the cell shown
* total magnetic moment: 0.00 Bohr magnetons per cell
* space-group type: Cmm2
* formation energy from the elements: 0.080 eV/atom
* ρ: 11.50 g/cm3

```
4
Lattice="1.751 -2.335 0.000 1.751 2.335 0.000 0.000 0.000 8.893" Properties=species:S:1:pos:R:3 pbc="T T T"
Ta 0.000 0.000 0.000
Ta 1.751 0.000 2.185
Al 0.000 0.000 4.233
In 1.751 0.000 6.544
```

Record 12
Computed, not measured: crystalline TaAl2In at its relaxed geometry at the GGA-PBEsol level of DFT.

Calculated values
* electronic total energy: -23.49 eV for the cell shown
* total magnetic moment: 0.00 Bohr magnetons per cell
* space-group type: P4mm
* formation energy from the elements: 0.057 eV/atom
* ρ: 8.06 g/cm3

```
4
Lattice="2.858 0.000 0.000 0.000 2.858 0.000 0.000 0.000 8.819" Properties=species:S:1:pos:R:3 pbc="T T T"
Ta 0.000 0.000 0.000
Al 0.000 0.000 4.722
Al 1.429 1.429 6.817
In 1.429 1.429 2.300
```

Record 13
Computed, not measured: crystalline TaAlIn4 at its relaxed geometry at the GGA-PBEsol level of DFT.

Calculated values
* electronic total energy: -25.31 eV for the cell shown
* total magnetic moment: 0.00 Bohr magnetons per cell
* space-group type: F-43m
* formation energy from the elements: 0.544 eV/atom
* ρ: 8.67 g/cm3

```
6
Lattice="0.000 3.998 3.998 3.998 0.000 3.998 3.998 3.998 0.000" Properties=species:S:1:pos:R:3 pbc="T T T"
Ta 0.000 0.000 0.000
Al 5.997 5.997 5.997
In 2.996 2.996 2.996
In 5.000 5.000 2.996
In 5.000 2.996 5.000
In 2.996 5.000 5.000
```

Record 14
Computed, not measured: crystalline Ta2AlIn at its relaxed geometry at the GGA-PBEsol level of DFT.

Calculated values
* electronic total energy: -32.22 eV for the cell shown
* total magnetic moment: 0.00 Bohr magnetons per cell
* space-group type: P2/m
* formation energy from the elements: -0.010 eV/atom
* ρ: 11.86 g/cm3

```
4
Lattice="2.858 0.000 0.000 0.000 4.343 0.000 -0.529 0.000 5.682" Properties=species:S:1:pos:R:3 pbc="T T T"
Ta -0.035 0.000 1.500
Ta 2.364 0.000 4.182
Al 1.165 2.172 2.841
In 1.429 2.172 0.000
```